1.
# PBE NaLa2InH, relaxed
# E_tot = -0.2768 Ry per atom
# Fermi-level density of states = 4.15 states/eV/f.u.
# Spin magnetization = 0.00 μB per atom
# V = 125.1 Å³ per cell
data_NaLa2InH
_symmetry_space_group_name_H-M 'P 4/m m m'
_symmetry_Int_Tables_number 123
_symmetry_space_group_name_Hall '-P 4 2'
_cell_length_a 5.140
_cell_length_b 5.140
_cell_length_c 4.734
_cell_angle_alpha 90.00
_cell_angle_beta 90.00
_cell_angle_gamma 90.00
loop_
_atom_site_label
_atom_site_fract_x
_atom_site_fract_y
_atom_site_fract_z
_atom_site_occupancy
Na1 0.000 0.000 0.000 1
La1 0.000 0.500 0.500 1
In1 0.500 0.500 0.000 1
H1 0.000 0.000 0.500 1

2.
# PBE Pr5Sm2Tm, relaxed
# ΔE to the lowest computed polymorph = 10.1 kJ per mole of atoms
# Fermi-level density of states = 13.98 states/eV/f.u.
# Spin magnetization = 0.00 μB per atom
# Formation energy = 121.3 meV/atom
# V = 1136.3 Å³ per cell
data_Pr5Sm2Tm
_symmetry_space_group_name_H-M 'C 1 2/c 1'
_symmetry_Int_Tables_number 15
_cell_length_a 15.178
_cell_length_b 9.537
_cell_length_c 9.064
_cell_angle_alpha 90.00
_cell_angle_beta 119.99
_cell_angle_gamma 90.00
loop_
_symmetry_equiv_pos_as_xyz
'x,y,z'
'-x,-y,-z'
'-x,y,-z+1/2'
'x,-y,z+1/2'
'x+1/2,y+1/2,z'
'-x+1/2,-y+1/2,-z'
'-x+1/2,y+1/2,-z+1/2'
'x+1/2,-y+1/2,z+1/2'
loop_
_atom_site_label
_atom_site_fract_x
_atom_site_fract_y
_atom_site_fract_z
_atom_site_occupancy
Pr1 0.000 0.159 0.250 1
Pr2 0.118 0.445 0.028 1
Pr3 0.176 0.082 0.093 1
Sm1 0.095 0.216 0.693 1
Tm1 0.250 0.250 0.500 1

3.
# PBE ZrAlHg2, relaxed
# Fermi-level density of states = 1.96 states/eV/f.u.
# Spin magnetization = 0.00 μB per atom
# Formation energy = -2.2 meV/atom
# V = 170.0 Å³ per cell
data_ZrAlHg2
_symmetry_space_group_name_H-M 'C 1 2/m 1'
_symmetry_Int_Tables_number 12
_cell_length_a 6.081
_cell_length_b 10.300
_cell_length_c 3.014
_cell_angle_alpha 90.00
_cell_angle_beta 115.76
_cell_angle_gamma 90.00
loop_
_symmetry_equiv_pos_as_xyz
'x,y,z'
'-x,-y,-z'
'-x,y,-z'
'x,-y,z'
'x+1/2,y+1/2,z'
'-x+1/2,-y+1/2,-z'
'-x+1/2,y+1/2,-z'
'x+1/2,-y+1/2,z'
loop_
_atom_site_label
_atom_site_fract_x
_atom_site_fract_y
_atom_site_fract_z
_atom_site_occupancy
Zr1 0.000 0.000 0.000 1
Al1 0.000 0.500 0.000 1
Hg1 0.250 0.250 0.500 1

4.
# PBE Mg2MnPd, relaxed
# Fermi-level density of states = 1.73 states/eV/f.u.
# Spin magnetization = 0.96 μB per atom
# Formation energy = 130.0 meV/atom
# V = 301.4 Å³ per cell
data_Mg2MnPd
_symmetry_space_group_name_H-M 'I -4 2 d'
_symmetry_Int_Tables_number 122
_symmetry_space_group_name_Hall 'I -4 2bw'
_cell_length_a 7.348
_cell_length_b 7.348
_cell_length_c 5.583
_cell_angle_alpha 90.00
_cell_angle_beta 90.00
_cell_angle_gamma 90.00
loop_
_atom_site_label
_atom_site_fract_x
_atom_site_fract_y
_atom_site_fract_z
_atom_site_occupancy
Mg1 0.226 0.250 0.125 1
Mn1 0.000 0.000 0.500 1
Pd1 0.000 0.000 0.000 1

- Which formula does entry 4 have?
  Mg2MnPd

- What is the V in the fourth record?
  301.4 Å³ per cell